Here is crystalline NaNdPb2Cl8 at its relaxed geometry from the Alexandria database. Energies are from PBE-GGA.

## Properties
Space group: P2/m
ΔE_f (raw) (eV/atom): -1.63
Raw total energy (eV per atom): -3.9857
Crystal system: monoclinic

Unit cell a=6.7887 b=6.5628 c=8.7036 alpha=90.00 beta=90.00 gamma=89.61
Last column: nearest neighbours and their distance in Å.
Positions (direct):
1 Na 0.0000 0.0000 0.5000  6 Cl 2.88-2.91
2 Nd 0.0000 0.0000 0.0000  6 Cl 2.76
3 Pb 0.5000 0.5000 0.7406  6 Cl 2.82-3.03
4 Pb 0.5000 0.5000 0.2594  6 Cl 2.82-3.03
5 Cl 0.1603 0.7780 0.2390  1 Nd 2.76, 1 Na 2.91, 1 Pb 2.94
6 Cl 0.6765 0.7465 0.0000  1 Nd 2.76, 2 Pb 3.03
7 Cl 0.8398 0.2220 0.2390  1 Nd 2.76, 1 Na 2.91, 1 Pb 2.94
8 Cl 0.8397 0.2220 0.7610  1 Nd 2.76, 1 Na 2.91, 1 Pb 2.94
9 Cl 0.3235 0.2535 0.0000  1 Nd 2.76, 2 Pb 3.03
10 Cl 0.1602 0.7780 0.7610  1 Nd 2.76, 1 Na 2.91, 1 Pb 2.94
11 Cl 0.6699 0.7265 0.5000  2 Pb 2.82, 1 Na 2.88
12 Cl 0.3301 0.2735 0.5000  2 Pb 2.82, 1 Na 2.88



Here is crystalline RbNaNdCl5 at its relaxed geometry from the Alexandria database. Energies are from PBE-GGA.

## Properties
Space group: C2/c
ΔE_f (raw) (eV/atom): -2.08
Raw total energy (eV per atom): -4.1172
Crystal system: monoclinic

Unit cell a=7.9592 b=7.9592 c=10.5047 alpha=102.75 beta=102.75 gamma=109.52
Last column: nearest neighbours and their distance in Å.
Positions (direct):
1 Rb 0.3389 0.6611 0.2500  5 Cl 3.40-3.46
2 Rb 0.6611 0.3389 0.7500  5 Cl 3.40-3.46
3 Na 0.6870 0.3130 0.2500  4 Cl 2.67-2.69
4 Na 0.3130 0.6870 0.7500  4 Cl 2.67-2.69
5 Nd 0.0000 0.0000 0.5000  6 Cl 2.73-2.79
6 Nd 0.0000 0.0000 0.0000  6 Cl 2.73-2.79
7 Cl 0.0729 0.9271 0.2500  2 Nd 2.79
8 Cl 0.9271 0.0729 0.7500  2 Nd 2.79
9 Cl 0.9099 0.2975 0.0948  1 Na 2.67, 1 Nd 2.74
10 Cl 0.0901 0.7025 0.9052  1 Na 2.67, 1 Nd 2.74
11 Cl 0.7025 0.0901 0.4052  1 Na 2.67, 1 Nd 2.74
12 Cl 0.2975 0.9099 0.5948  1 Na 2.67, 1 Nd 2.74
13 Cl 0.7438 0.6391 0.4312  1 Na 2.69, 1 Nd 2.73
14 Cl 0.2562 0.3609 0.5688  1 Na 2.69, 1 Nd 2.73
15 Cl 0.3609 0.2562 0.0688  1 Na 2.69, 1 Nd 2.73
16 Cl 0.6391 0.7438 0.9312  1 Na 2.69, 1 Nd 2.73



Here is crystalline Rb2NaNdCl6 at its relaxed geometry from the Alexandria database. Energies are from PBE-GGA.

## Properties
Space group: Fm-3m
ΔE_f (raw) (eV/atom): -2.07
Raw total energy (eV per atom): -3.9824
Crystal system: cubic

Unit cell a=7.7581 b=7.7581 c=7.7581 alpha=60.00 beta=60.00 gamma=60.00
Last column: nearest neighbours and their distance in Å.
Positions (direct):
1 Na 0.5000 0.5000 0.5000  6 Cl 2.76
2 Nd 0.0000 0.0000 0.0000  6 Cl 2.73
3 Rb 0.7500 0.7500 0.7500  12 Cl 3.88
4 Rb 0.2500 0.2500 0.2500  12 Cl 3.88
5 Cl 0.2485 0.7515 0.2485  1 Nd 2.73, 1 Na 2.76
6 Cl 0.2485 0.7515 0.7515  1 Nd 2.73, 1 Na 2.76
7 Cl 0.7515 0.2485 0.7515  1 Nd 2.73, 1 Na 2.76
8 Cl 0.7515 0.2485 0.2485  1 Nd 2.73, 1 Na 2.76
9 Cl 0.2485 0.2485 0.7515  1 Nd 2.73, 1 Na 2.76
10 Cl 0.7515 0.7515 0.2485  1 Nd 2.73, 1 Na 2.76



Here is crystalline NaNdSCl at its relaxed geometry from the Alexandria database. Energies are from PBE-GGA.

## Properties
Space group: Cm
ΔE_f (raw) (eV/atom): -1.64
Raw total energy (eV per atom): -4.6516
Crystal system: monoclinic

Unit cell a=3.9508 b=3.9511 c=7.6959 alpha=90.07 beta=104.81 gamma=120.02
Last column: nearest neighbours and their distance in Å.
Positions (direct):
1 Na 0.4943 0.1440 0.6541  3 S 2.77
2 Nd 0.1200 0.9584 0.0935  3 S 2.82, 3 Cl 2.98
3 S 0.3032 0.5494 0.8678  3 Na 2.77, 3 Nd 2.82
4 Cl 0.9604 0.3790 0.3543  3 Nd 2.98, 3 Na 3.17-3.18



Here is crystalline NaNdSn2Cl8 at its relaxed geometry from the Alexandria database. Energies are from PBE-GGA.

## Properties
Space group: P-1
ΔE_f (raw) (eV/atom): -1.55
Raw total energy (eV per atom): -3.9542
Crystal system: triclinic

Unit cell a=6.7821 b=6.5358 c=8.5419 alpha=90.03 beta=90.03 gamma=88.88
Last column: nearest neighbours and their distance in Å.
Positions (direct):
1 Na 0.0000 0.0000 0.5000  6 Cl 2.85-2.96
2 Nd 0.0000 0.0000 0.0000  6 Cl 2.75-2.76
3 Sn 0.5002 0.5001 0.7404  6 Cl 2.74-3.02
4 Sn 0.4998 0.4999 0.2596  6 Cl 2.74-3.02
5 Cl 0.1616 0.7738 0.2433  1 Nd 2.76, 1 Na 2.85, 1 Sn 2.89
6 Cl 0.6783 0.7491 0.9992  1 Nd 2.75, 2 Sn 3.01-3.02
7 Cl 0.8374 0.2252 0.2434  1 Nd 2.76, 1 Na 2.85, 1 Sn 2.89
8 Cl 0.8384 0.2262 0.7567  1 Nd 2.76, 1 Na 2.85, 1 Sn 2.89
9 Cl 0.3217 0.2509 0.0008  1 Nd 2.75, 2 Sn 3.01-3.02
10 Cl 0.1626 0.7748 0.7566  1 Nd 2.76, 1 Na 2.85, 1 Sn 2.89
11 Cl 0.6615 0.7198 0.5008  2 Sn 2.74-2.75, 1 Na 2.96
12 Cl 0.3385 0.2802 0.4992  2 Sn 2.74-2.75, 1 Na 2.96



Here is crystalline NaNdSnCl6 at its relaxed geometry from the Alexandria database. Energies are from PBE-GGA.

## Properties
Space group: P4_2nm
ΔE_f (raw) (eV/atom): -1.74
Raw total energy (eV per atom): -4.0940
Crystal system: tetragonal

Unit cell a=6.6150 b=6.6150 c=12.8560 alpha=90.00 beta=90.00 gamma=90.00
Last column: nearest neighbours and their distance in Å.
Positions (direct):
1 Na 0.5000 0.5000 0.1671  6 Cl 2.86-2.87
2 Na 0.0000 0.0000 0.6671  6 Cl 2.86-2.87
3 Nd 0.5000 0.5000 0.8334  6 Cl 2.75-2.77
4 Nd 0.0000 0.0000 0.3334  6 Cl 2.75-2.77
5 Sn 0.5000 0.5000 0.4996  6 Cl 2.86-2.88
6 Sn 0.0000 0.0000 0.9996  6 Cl 2.86-2.88
7 Cl 0.1939 0.8061 0.4954  1 Nd 2.76, 1 Na 2.86, 1 Sn 2.86
8 Cl 0.8061 0.1939 0.4954  1 Nd 2.76, 1 Na 2.86, 1 Sn 2.86
9 Cl 0.3061 0.3061 0.9954  1 Nd 2.76, 1 Na 2.86, 1 Sn 2.86
10 Cl 0.6939 0.6939 0.9954  1 Nd 2.76, 1 Na 2.86, 1 Sn 2.86
11 Cl 0.1937 0.8063 0.1722  1 Nd 2.75, 1 Sn 2.86, 1 Na 2.87
12 Cl 0.8063 0.1937 0.1722  1 Nd 2.75, 1 Sn 2.86, 1 Na 2.87
13 Cl 0.3063 0.3063 0.6722  1 Nd 2.75, 1 Sn 2.86, 1 Na 2.87
14 Cl 0.6937 0.6937 0.6722  1 Nd 2.75, 1 Sn 2.86, 1 Na 2.87
15 Cl 0.7960 0.2040 0.8324  1 Nd 2.77, 1 Na 2.86, 1 Sn 2.88
16 Cl 0.2040 0.7960 0.8324  1 Nd 2.77, 1 Na 2.86, 1 Sn 2.88
17 Cl 0.7040 0.7040 0.3324  1 Nd 2.77, 1 Na 2.86, 1 Sn 2.88
18 Cl 0.2960 0.2960 0.3324  1 Nd 2.77, 1 Na 2.86, 1 Sn 2.88



Here is crystalline NaNdTl2Cl6 at its relaxed geometry from the Alexandria database. Energies are from PBE-GGA.

## Properties
Space group: P2_1/c
ΔE_f (raw) (eV/atom): -1.70
Raw total energy (eV per atom): -3.8894
Crystal system: monoclinic

Unit cell a=7.4398 b=7.8185 c=10.7049 alpha=90.00 beta=89.23 gamma=90.00
Last column: nearest neighbours and their distance in Å.
Positions (direct):
1 Na 0.5000 0.0000 0.0000  6 Cl 2.83-2.87
2 Na 0.0000 0.5000 0.5000  6 Cl 2.83-2.87
3 Nd 0.5000 0.0000 0.5000  6 Cl 2.75
4 Nd 0.0000 0.5000 0.0000  6 Cl 2.75
5 Tl 0.0218 0.9309 0.2535  6 Cl 3.21-3.52
6 Tl 0.5218 0.5691 0.7535  6 Cl 3.21-3.52
7 Tl 0.9782 0.0691 0.7465  6 Cl 3.21-3.52
8 Tl 0.4782 0.4309 0.2465  6 Cl 3.21-3.52
9 Cl 0.2997 0.6936 0.0483  1 Nd 2.75, 1 Na 2.86
10 Cl 0.7997 0.8064 0.5483  1 Nd 2.75, 1 Na 2.86
11 Cl 0.7003 0.3064 0.9517  1 Nd 2.75, 1 Na 2.86
12 Cl 0.2003 0.1936 0.4517  1 Nd 2.75, 1 Na 2.86
13 Cl 0.3091 0.7077 0.4473  1 Nd 2.75, 1 Na 2.87
14 Cl 0.8091 0.7923 0.9473  1 Nd 2.75, 1 Na 2.87
15 Cl 0.6909 0.2923 0.5527  1 Nd 2.75, 1 Na 2.87
16 Cl 0.1909 0.2077 0.0527  1 Nd 2.75, 1 Na 2.87
17 Cl 0.8977 0.5291 0.2468  1 Nd 2.75, 1 Na 2.83
18 Cl 0.3977 0.9709 0.7468  1 Nd 2.75, 1 Na 2.83
19 Cl 0.1023 0.4709 0.7532  1 Nd 2.75, 1 Na 2.83
20 Cl 0.6023 0.0291 0.2532  1 Nd 2.75, 1 Na 2.83



Here is crystalline NaNiCl at its relaxed geometry from the Alexandria database. Energies are from PBE-GGA.

## Properties
Space group: Cmcm
ΔE_f (raw) (eV/atom): -0.48
Raw total energy (eV per atom): -3.4598
Energy relative to the lowest polymorph listed for this composition (eV/atom): 0.133
Crystal system: orthorhombic

Unit cell a=6.5334 b=6.5334 c=5.0090 alpha=90.00 beta=90.00 gamma=142.06
Last column: nearest neighbours and their distance in Å.
Positions (direct):
1 Ni 0.0000 0.0000 0.0000  2 Cl 2.14
2 Ni 0.0000 0.0000 0.5000  2 Cl 2.14
3 Na 0.3708 0.6292 0.2500  1 Cl 2.85, 4 Ni 2.94
4 Na 0.6292 0.3708 0.7500  1 Cl 2.85, 4 Ni 2.94
5 Cl 0.1402 0.8598 0.2500  2 Ni 2.14
6 Cl 0.8598 0.1402 0.7500  2 Ni 2.14



What is the ΔE_f (raw) in the fourth record?
-1.64 eV/atom



Among the records above, which one has the highest raw total energy?
NaNiCl